DFT (PBE+U) results for a relaxed SrV2F crystal. Values from VASP.

```
&SYSTEM
  ibrav = 0, nat = 4, ntyp = 3
/
ATOMIC_SPECIES
V 50.94 V.upf
Sr 87.62 Sr.upf
F 19.00 F.upf
CELL_PARAMETERS angstrom
0.000 3.677 3.677
3.677 0.000 3.677
3.677 3.677 0.000
ATOMIC_POSITIONS crystal
V 0.250 0.250 0.250
Sr 0.500 0.500 0.500
V 0.750 0.750 0.750
F 0.000 0.000 0.000
```

Output
Symmetry: Fm-3m (225)
Total moment: 9.40 μB/f.u.
Electronic total energy: -3.788 eV per atom